Entry 1:
This record from Alexandria describes a relaxed RbBaGa3 crystal. The functional is PBE-GGA.

Lattice parameters (Å, degrees): 5.894 5.894 5.894 90.00 90.00 90.00
Space group Pm-3m (No. 221)
One atom of each set of equivalent atoms:
Rb1 0.000 0.000 0.000
Ba1 0.500 0.500 0.500
Ga1 0.000 0.000 0.500

Entry 2:
This record from Alexandria describes a relaxed RbBaGa3 crystal. The functional is PBE-GGA.

Lattice parameters (Å, degrees): 6.188 6.188 6.188 90.00 90.00 90.00
Space group Pm-3m (No. 221)
One atom of each set of equivalent atoms:
Rb1 0.000 0.000 0.000
Ba1 0.500 0.500 0.500
Ga1 0.000 0.500 0.500

Number 1: total moment 0.00 μB/cell, ΔE to the lowest computed polymorph 87 meV/atom. Number 2: total moment 0.00 μB/cell, ΔE to the lowest computed polymorph 0 meV/atom.